[1]
## LiAcSc (PBE-GGA)

Data for crystalline LiAcSc at its relaxed geometry.

Results
- energy relative to the elements (meV/atom) = 144
- ρ (Mg/m³) = 5.3
- ΔE to the lowest computed polymorph (meV per atom) = 7
- energy (eV per cell) = -23.85

abc: 5.539 3.667 9.042
angles: 90.00 107.57 90.00
Atoms (fractional coordinates):
Li 0.068 0.250 0.129
Li 0.932 0.750 0.871
Ac 0.398 0.250 0.803
Ac 0.602 0.750 0.197
Sc 0.227 0.750 0.452
Sc 0.773 0.250 0.548

---

[2]
## LiAcSc2Se4 (PBE-GGA)

Data for crystalline LiAcSc2Se4 at its relaxed geometry.

Results
- raw formation energy (eV/atom) = -1.60
- ρ (Mg/m³) = 5.7
- energy (eV per cell) = -90.85

abc: 6.999 6.999 13.583
angles: 90.00 90.00 146.14
Atoms (fractional coordinates):
Li 0.149 0.851 0.750
Li 0.851 0.149 0.250
Ac 0.122 0.878 0.250
Ac 0.878 0.122 0.750
Sc 0.378 0.622 0.056
Sc 0.378 0.622 0.444
Sc 0.622 0.378 0.556
Sc 0.622 0.378 0.944
Se 0.000 0.000 0.000
Se 0.000 0.000 0.500
Se 0.265 0.735 0.611
Se 0.265 0.735 0.889
Se 0.447 0.553 0.250
Se 0.553 0.447 0.750
Se 0.735 0.265 0.111
Se 0.735 0.265 0.389

---

[3]
## LiAc3Sc3Se8 (PBE-GGA)

Data for crystalline LiAc3Sc3Se8 at its relaxed geometry.

Results
- raw formation energy (eV/atom) = -1.71
- ρ (Mg/m³) = 6.0
- energy (eV per cell) = -86.73

abc: 8.378 8.378 8.378
angles: 58.30 58.30 58.30
Atoms (fractional coordinates):
Li 0.000 0.000 0.000
Ac 0.000 0.000 0.500
Ac 0.000 0.500 0.000
Ac 0.500 0.000 0.000
Sc 0.000 0.500 0.500
Sc 0.500 0.000 0.500
Sc 0.500 0.500 0.000
Se 0.245 0.245 0.728
Se 0.245 0.728 0.245
Se 0.264 0.264 0.264
Se 0.272 0.755 0.755
Se 0.728 0.245 0.245
Se 0.736 0.736 0.736
Se 0.755 0.272 0.755
Se 0.755 0.755 0.272

---

[4]
## LiAcSmSc (PBE-GGA)

Data for crystalline LiAcSmSc at its relaxed geometry.

Results
- energy relative to the elements (meV/atom) = 149
- ρ (Mg/m³) = 5.8
- energy (eV per cell) = -16.48

abc: 5.589 5.589 5.589
angles: 60.00 60.00 60.00
Atoms (fractional coordinates):
Li 0.000 0.000 0.000
Ac 0.750 0.750 0.750
Sm 0.250 0.250 0.250
Sc 0.500 0.500 0.500

---

[5]
## LiAcScSn (PBE-GGA)

Data for crystalline LiAcScSn at its relaxed geometry.

Results
- energy relative to the elements (meV/atom) = -284
- ρ (Mg/m³) = 6.0
- energy (eV per cell) = -17.49

abc: 5.368 5.368 5.368
angles: 60.00 60.00 60.00
Atoms (fractional coordinates):
Li 0.000 0.000 0.000
Ac 0.250 0.250 0.250
Sc 0.750 0.750 0.750
Sn 0.500 0.500 0.500

---

[6]
## LiAcScSn2 (PBE-GGA)

Data for crystalline LiAcScSn2 at its relaxed geometry.

Results
- energy relative to the elements (meV/atom) = -585
- ρ (Mg/m³) = 6.2
- energy (eV per cell) = -23.28

abc: 7.099 7.099 7.099
angles: 141.36 141.36 55.79
Atoms (fractional coordinates):
Li 0.000 0.000 0.000
Ac 0.250 0.750 0.500
Sc 0.500 0.500 0.000
Sn 0.633 0.133 0.500
Sn 0.867 0.367 0.500

---

[7]
## Li3Ac2ScSn4 (PBE-GGA)

Data for crystalline Li3Ac2ScSn4 at its relaxed geometry.

Results
- energy relative to the elements (meV/atom) = -618
- ρ (Mg/m³) = 6.4
- energy (eV per cell) = -42.48

abc: 4.704 4.704 11.731
angles: 90.00 90.00 90.00
Atoms (fractional coordinates):
Li 0.000 0.000 0.000
Li 0.000 0.500 0.628
Li 0.500 0.000 0.372
Ac 0.000 0.500 0.262
Ac 0.500 0.000 0.738
Sc 0.500 0.500 0.000
Sn 0.000 0.000 0.500
Sn 0.000 0.500 0.857
Sn 0.500 0.000 0.143
Sn 0.500 0.500 0.500

---

[8]
## LiAcScTc (PBE-GGA)

Data for crystalline LiAcScTc at its relaxed geometry.

Results
- energy relative to the elements (meV/atom) = 95
- ρ (Mg/m³) = 7.1
- energy (eV per cell) = -22.34

abc: 4.997 4.997 4.997
angles: 60.00 60.00 60.00
Atoms (fractional coordinates):
Li 0.000 0.000 0.000
Ac 0.750 0.750 0.750
Sc 0.250 0.250 0.250
Tc 0.500 0.500 0.500